(1)
PrTm3Ag2 | Alexandria | PBE | optimized geometry; energy of formation from the pure elements = -1.25 eV per formula unit
1.0
3.599 0.000 0.000
0.000 3.599 0.000
0.000 0.000 12.295
Pr Tm Ag
1 3 2
direct
0.000 0.000 0.000
0.500 0.500 0.210
0.500 0.500 0.500
0.500 0.500 0.790
0.000 0.000 0.353
0.000 0.000 0.647

(2)
PrTmAg | Alexandria | PBE | optimized geometry; offset from the most stable computed form = 0 meV/atom; energy of formation from the pure elements = -0.51 eV per formula unit
1.0
-1.813 1.813 6.409
1.813 -1.813 6.409
1.813 1.813 -6.409
Pr Tm Ag
1 1 1
direct
0.000 0.000 0.000
0.297 0.297 0.000
0.669 0.669 0.000

(3)
PrTm4Ag5 | Alexandria | PBE | optimized geometry; energy of formation from the pure elements = -3.23 eV per formula unit
1.0
3.587 0.000 0.000
0.000 3.587 0.000
0.000 0.000 18.495
Pr Tm Ag
1 4 5
direct
0.000 0.000 0.000
0.000 0.000 0.207
0.000 0.000 0.402
0.000 0.000 0.598
0.000 0.000 0.793
0.500 0.500 0.114
0.500 0.500 0.304
0.500 0.500 0.500
0.500 0.500 0.696
0.500 0.500 0.886

| no. | magnetization (Bohr magnetons per cell) |
| --- | --- |
| 1 | 0.00 |
| 2 | 0.01 |
| 3 | 0.00 |